Entry 1:
A relaxed structure of Pm6Dy2Er3Tm. Source: the Alexandria database, functional GGA-PBE.

Results
Space group   C2/m
Formation enthalpy at 0 K   0.0135 eV per atom

```
Pm6Dy2Er3Tm
1.0
3.110 -5.385 0.000
3.110 5.385 0.000
-2.065 0.000 11.586
Pm Dy Er Tm
6 2 3 1
Direct
0.084 0.417 0.750
0.249 0.249 0.249
0.417 0.084 0.750
0.583 0.916 0.250
0.751 0.751 0.751
0.916 0.583 0.250
0.333 0.667 0.500
0.667 0.333 0.500
0.167 0.833 0.000
0.500 0.500 0.000
0.833 0.167 0.000
0.000 0.000 0.500
```



Entry 2:
A relaxed structure of AlSiBr2. Source: the Alexandria database, functional GGA-PBE.

Results
Energy relative to the lowest polymorph listed for this composition   0.326 eV per atom
Space group   P4mm

```
AlSiBr2
1.0
3.348 0.000 0.000
0.000 3.348 0.000
0.000 0.000 8.671
Al Si Br
1 1 2
Direct
0.000 0.000 0.000
0.500 0.500 0.842
0.000 0.000 0.637
0.500 0.500 0.195
```



Entry 3:
A relaxed structure of LiPm2Sc. Source: the Alexandria database, functional GGA-PBE.

Results
Energy relative to the lowest polymorph listed for this composition   0.000 eV per atom
Space group   P4/mmm
Formation enthalpy at 0 K   0.0817 eV per atom

```
LiPm2Sc
1.0
3.763 0.000 0.000
0.000 3.763 0.000
0.000 0.000 8.103
Li Pm Sc
1 2 1
Direct
0.000 0.000 0.000
0.500 0.500 0.247
0.500 0.500 0.753
0.000 0.000 0.500
```



Entry 4:
A relaxed structure of AlSiRu2. Source: the Alexandria database, functional GGA-PBE.

Results
Energy relative to the lowest polymorph listed for this composition   0.164 eV per atom
Space group   Cm

```
AlSiRu2
1.0
4.544 -1.450 0.000
4.544 1.450 0.000
-1.294 0.000 4.070
Al Si Ru
1 1 2
Direct
0.000 0.000 0.000
0.762 0.762 0.384
0.253 0.253 0.886
0.502 0.502 0.491
```



Entry 5:
A relaxed structure of NaCaTa2. Source: the Alexandria database, functional GGA-PBE.

Results
Energy relative to the lowest polymorph listed for this composition   0.000 eV per atom
Space group   I-42d
Formation enthalpy at 0 K   1.0578 eV per atom

```
NaCaTa2
1.0
-1.980 1.980 11.678
1.980 -1.980 11.678
1.980 1.980 -11.678
Na Ca Ta
2 2 4
Direct
0.000 0.000 0.000
0.750 0.250 0.500
0.250 0.750 0.500
0.500 0.500 0.000
0.123 0.625 0.998
0.375 0.373 0.498
0.627 0.125 0.002
0.875 0.877 0.502
```



Number 1: DOS at the Fermi energy 13.35 states/eV/cell, calculated total energy -4.642 eV per atom. Number 2: DOS at the Fermi energy 1.15 states/eV/cell, calculated total energy -3.138 eV per atom. Number 3: DOS at the Fermi energy 5.19 states/eV/cell, calculated total energy -4.355 eV per atom. Number 4: DOS at the Fermi energy 2.18 states/eV/cell, calculated total energy -7.480 eV per atom. Number 5: DOS at the Fermi energy 8.01 states/eV/cell, calculated total energy -5.699 eV per atom.